No. 1
The following is a PBEsol calculation of Ti5Mn3O16 after structural relaxation, from the Alexandria database.

Output
The calculation puts the uncorrected formation energy at -2.436 eV per atom. The raw total energy is -8.889 eV per atom. Its space-group type is Cm (8). For the theoretical density, the calculation gives 4.26 g/cm³. Its spin magnetization is 9.000 μB per cell.

```
Ti5Mn3O16
1.0
4.9782 -2.8865 0.0000
4.9782 2.8865 0.0000
-0.2325 0.0000 8.9484
Ti Mn O
5 3 16
Direct
0.0000 0.0000 0.0000 Ti
0.1683 0.6630 0.5009 Ti
0.1709 0.1709 0.7250 Ti
0.5100 0.5100 0.2222 Ti
0.6630 0.1683 0.5009 Ti
0.0059 0.4967 0.0057 Mn
0.4967 0.0059 0.0057 Mn
0.6643 0.6643 0.5066 Mn
0.0029 0.5005 0.6166 O
0.0069 0.0069 0.6158 O
0.1744 0.6686 0.1157 O
0.1767 0.1767 0.1151 O
0.3158 0.3158 0.8885 O
0.3207 0.8791 0.8799 O
0.3561 0.3561 0.3744 O
0.3636 0.7944 0.3812 O
0.5005 0.0029 0.6166 O
0.5066 0.5066 0.6171 O
0.6686 0.1744 0.1157 O
0.6723 0.6723 0.1130 O
0.7944 0.3636 0.3812 O
0.8279 0.8279 0.3993 O
0.8284 0.8284 0.9009 O
0.8791 0.3207 0.8799 O
```

No. 2
The following is a PBEsol calculation of ScTc2Ni after structural relaxation, from the Alexandria database.

Output
The raw total energy is -8.789 eV per atom. The value obtained for the formation energy is 0.03 eV/atom. Its space-group type is Cm (8). For the theoretical density, the calculation gives 8.58 g/cm³. Its spin magnetization is 0.000 μB per cell.

```
ScTc2Ni
1.0
4.3455 -1.4731 0.0000
4.3455 1.4731 0.0000
-1.0435 0.0000 4.5319
Sc Tc Ni
1 2 1
Direct
0.0000 0.0000 0.0000 Sc
0.5174 0.5174 0.5138 Tc
0.7740 0.7740 0.3462 Tc
0.2529 0.2529 0.8075 Ni
```

No. 3
The following is a PBEsol calculation of NaYSi2O6 after structural relaxation, from the Alexandria database.

Output
The calculation puts the uncorrected formation energy at -2.938 eV per atom. The raw total energy is -8.059 eV per atom. Its space-group type is C2/c (15). For the theoretical density, the calculation gives 3.57 g/cm³. Its spin magnetization is 0.001 μB per cell.

```
NaYSi2O6
1.0
4.0985 -5.1890 0.0000
4.0985 5.1890 0.0000
-3.2167 0.0000 17.3149
Na Y Si O
6 6 12 36
Direct
0.0053 0.6367 0.9172 Na
0.1221 0.8779 0.7500 Na
0.3633 0.9947 0.5828 Na
0.6367 0.0053 0.4172 Na
0.8779 0.1221 0.2500 Na
0.9947 0.3633 0.0828 Na
0.2643 0.3612 0.4280 Y
0.3612 0.2643 0.9280 Y
0.3962 0.6038 0.2500 Y
0.6038 0.3962 0.7500 Y
0.6388 0.7357 0.0720 Y
0.7357 0.6388 0.5720 Y
0.1111 0.3540 0.7436 Si
0.1686 0.8213 0.3992 Si
0.1787 0.8314 0.1008 Si
0.1911 0.5377 0.6013 Si
0.3540 0.1111 0.2436 Si
0.4623 0.8089 0.8987 Si
0.5377 0.1911 0.1013 Si
0.6460 0.8889 0.7564 Si
0.8089 0.4623 0.3987 Si
0.8213 0.1686 0.8992 Si
0.8314 0.1787 0.6008 Si
0.8889 0.6460 0.2564 Si
0.0085 0.3260 0.5556 O
0.0305 0.8535 0.3184 O
0.0365 0.5071 0.2225 O
0.0425 0.2799 0.9514 O
0.0828 0.7292 0.6160 O
0.1465 0.9695 0.1816 O
0.2708 0.9172 0.8840 O
0.2763 0.4707 0.6854 O
0.2799 0.0425 0.4514 O
0.2811 0.2923 0.8037 O
0.2923 0.2811 0.3037 O
0.3218 0.6698 0.1230 O
0.3260 0.0085 0.0556 O
0.3302 0.6782 0.3770 O
0.3743 0.5695 0.5475 O
0.4305 0.6257 0.9525 O
0.4707 0.2763 0.1854 O
0.4929 0.9635 0.2775 O
0.5071 0.0365 0.7225 O
0.5293 0.7237 0.8146 O
0.5695 0.3743 0.0475 O
0.6257 0.4305 0.4525 O
0.6698 0.3218 0.6230 O
0.6740 0.9915 0.9444 O
0.6782 0.3302 0.8770 O
0.7077 0.7189 0.6963 O
0.7189 0.7077 0.1963 O
0.7201 0.9575 0.5486 O
0.7237 0.5293 0.3146 O
0.7292 0.0828 0.1160 O
0.8535 0.0305 0.8184 O
0.9172 0.2708 0.3840 O
0.9575 0.7201 0.0486 O
0.9635 0.4929 0.7775 O
0.9695 0.1465 0.6816 O
0.9915 0.6740 0.4444 O
```

No. 4
The following is a PBEsol calculation of Ba3Nd3Cu6O14 after structural relaxation, from the Alexandria database.

Output
The calculation puts the uncorrected formation energy at -1.901 eV per atom. The raw total energy is -6.572 eV per atom. Its space-group type is Fmm2 (42). For the theoretical density, the calculation gives 7.07 g/cm³. Its spin magnetization is 0.000 μB per cell.

```
Ba3Nd3Cu6O14
1.0
0.0000 3.8836 11.4917
3.8143 0.0000 11.4917
3.8143 3.8836 0.0000
Ba Nd Cu O
3 3 6 14
Direct
0.0000 0.0000 0.0000 Ba
0.1822 0.1822 0.8178 Ba
0.5029 0.5029 0.4971 Ba
0.3410 0.3410 0.6590 Nd
0.6850 0.6850 0.3150 Nd
0.8410 0.8410 0.1590 Nd
0.0946 0.0946 0.4054 Cu
0.2666 0.2666 0.2334 Cu
0.4160 0.4160 0.0840 Cu
0.5946 0.5946 0.9054 Cu
0.7666 0.7666 0.7334 Cu
0.9160 0.9160 0.5840 Cu
0.0051 0.5345 0.4655 O
0.0143 0.0143 0.4857 O
0.0254 0.5220 0.9746 O
0.1543 0.6582 0.8457 O
0.1568 0.6511 0.3489 O
0.1749 0.1749 0.3251 O
0.3923 0.8125 0.6077 O
0.5143 0.5143 0.9857 O
0.5220 0.0254 0.4780 O
0.5345 0.0051 0.9949 O
0.6511 0.1568 0.8432 O
0.6582 0.1543 0.3418 O
0.6749 0.6749 0.8251 O
0.8125 0.3923 0.1875 O
```

No. 5
The following is a PBEsol calculation of Sr2LiAs after structural relaxation, from the Alexandria database.

Output
The raw total energy is -3.371 eV per atom. The value obtained for the formation energy is -0.68 eV/atom. Its space-group type is Amm2 (38). For the theoretical density, the calculation gives 3.62 g/cm³. Its spin magnetization is 0.000 μB per cell.

```
Sr2LiAs
1.0
4.4671 0.0000 0.0000
0.0000 2.2170 5.9581
0.0000 -2.2170 5.9581
Sr Li As
2 1 1
Direct
0.0000 0.0000 0.0000 Sr
0.5000 0.2821 0.2821 Sr
0.0000 0.6847 0.6847 Li
0.5000 0.5681 0.5681 As
```

No. 6
The following is a PBEsol calculation of Cu2NiRu after structural relaxation, from the Alexandria database.

Output
The raw total energy is -6.078 eV per atom. The polymorph energy (0 for the lowest one) comes out at 40 meV/atom. The value obtained for the formation energy is 0.17 eV/atom. Its space-group type is Pmm2 (25). For the theoretical density, the calculation gives 10.20 g/cm³. Its spin magnetization is 0.007 μB per cell.

```
Cu2NiRu
1.0
2.5069 0.0000 0.0000
0.0000 3.6244 0.0000
0.0000 0.0000 5.1419
Cu Ni Ru
2 1 1
Direct
0.0000 0.0000 0.0000 Cu
0.5000 0.5000 0.2341 Cu
0.0000 0.0000 0.4961 Ni
0.5000 0.5000 0.7259 Ru
```

No. 7
The following is a PBEsol calculation of LaHfSCl2 after structural relaxation, from the Alexandria database.

Output
The calculation puts the uncorrected formation energy at -0.451 eV per atom. The raw total energy is -5.301 eV per atom. Its space-group type is P4/mmm (123). For the theoretical density, the calculation gives 4.36 g/cm³. Its spin magnetization is 1.524 μB per cell.

```
LaHfSCl2
1.0
5.3738 0.0000 0.0000
0.0000 5.3738 0.0000
0.0000 0.0000 5.5491
La Hf S Cl
1 1 1 2
Direct
0.0000 0.0000 0.0000 La
0.5000 0.5000 0.5000 Hf
0.0000 0.0000 0.5000 S
0.0000 0.5000 0.0000 Cl
0.5000 0.0000 0.0000 Cl
```

No. 8
The following is a PBEsol calculation of KNaCd3 after structural relaxation, from the Alexandria database.

Output
The raw total energy is -0.641 eV per atom. The value obtained for the formation energy is 0.58 eV/atom. Its space-group type is Pm-3m (221). For the theoretical density, the calculation gives 2.98 g/cm³. Its spin magnetization is 0.000 μB per cell.

```
KNaCd3
1.0
6.0581 0.0000 0.0000
0.0000 6.0581 0.0000
0.0000 0.0000 6.0581
K Na Cd
1 1 3
Direct
0.0000 0.0000 0.0000 K
0.5000 0.5000 0.5000 Na
0.0000 0.0000 0.5000 Cd
0.0000 0.5000 0.0000 Cd
0.5000 0.0000 0.0000 Cd
```

No. 9
The following is a PBEsol calculation of Te3Se after structural relaxation, from the Alexandria database.

Output
The calculation puts the uncorrected formation energy at 0.030 eV per atom. The raw total energy is -3.577 eV per atom. Its space-group type is C2/m (12). For the theoretical density, the calculation gives 6.69 g/cm³. Its spin magnetization is 0.000 μB per cell.

```
Te3Se
1.0
3.7802 -2.1175 0.0000
3.7802 2.1175 0.0000
-2.5388 0.0000 7.1613
Te Se
3 1
Direct
0.0000 0.0000 0.0000 Te
0.2370 0.2370 0.7366 Te
0.7630 0.7630 0.2634 Te
0.5000 0.5000 0.5000 Se
```

No. 10
The following is a PBEsol calculation of NdMg2Cu9 after structural relaxation, from the Alexandria database.

Output
The raw total energy is -4.124 eV per atom. The value obtained for the formation energy is -0.16 eV/atom. Its space-group type is P6_3/mmc (194). For the theoretical density, the calculation gives 7.48 g/cm³. Its spin magnetization is 0.000 μB per cell.

```
NdMg2Cu9
1.0
4.9651 0.0000 0.0000
-2.4825 4.2999 0.0000
0.0000 0.0000 15.8962
Nd Mg Cu
2 4 18
Direct
0.3333 0.6667 0.2500 Nd
0.6667 0.3333 0.7500 Nd
0.3333 0.6667 0.0319 Mg
0.3333 0.6667 0.4681 Mg
0.6667 0.3333 0.5319 Mg
0.6667 0.3333 0.9681 Mg
0.0000 0.0000 0.0000 Cu
0.0000 0.0000 0.2500 Cu
0.0000 0.0000 0.5000 Cu
0.0000 0.0000 0.7500 Cu
0.1680 0.3360 0.6227 Cu
0.1680 0.3360 0.8773 Cu
0.1680 0.8320 0.6227 Cu
0.1680 0.8320 0.8773 Cu
0.3333 0.6667 0.7500 Cu
0.3360 0.1680 0.1227 Cu
0.3360 0.1680 0.3773 Cu
0.6640 0.8320 0.6227 Cu
0.6640 0.8320 0.8773 Cu
0.6667 0.3333 0.2500 Cu
0.8320 0.1680 0.1227 Cu
0.8320 0.1680 0.3773 Cu
0.8320 0.6640 0.1227 Cu
0.8320 0.6640 0.3773 Cu
```

No. 11
The following is a PBEsol calculation of ZrReRu3 after structural relaxation, from the Alexandria database.

Output
The raw total energy is -9.380 eV per atom. The value obtained for the formation energy is 1.21 eV/atom. Its space-group type is Pm-3m (221). For the theoretical density, the calculation gives 9.99 g/cm³. Its spin magnetization is 0.000 μB per cell.

```
ZrReRu3
1.0
4.5871 0.0000 0.0000
0.0000 4.5871 0.0000
0.0000 0.0000 4.5871
Zr Re Ru
1 1 3
Direct
0.0000 0.0000 0.0000 Zr
0.5000 0.5000 0.5000 Re
0.0000 0.5000 0.5000 Ru
0.5000 0.0000 0.5000 Ru
0.5000 0.5000 0.0000 Ru
```

No. 12
The following is a PBEsol calculation of Li3Pt after structural relaxation, from the Alexandria database.

Output
The raw total energy is -3.569 eV per atom. The polymorph energy (0 for the lowest one) comes out at 1 meV/atom. The value obtained for the formation energy is -0.35 eV/atom. Its space-group type is Fm-3m (225). For the theoretical density, the calculation gives 6.65 g/cm³. Its spin magnetization is 0.000 μB per cell.

```
Li3Pt
1.0
0.0000 2.9982 2.9982
2.9982 0.0000 2.9982
2.9982 2.9982 0.0000
Li Pt
3 1
Direct
0.0000 0.0000 0.0000 Li
0.2500 0.2500 0.2500 Li
0.7500 0.7500 0.7500 Li
0.5000 0.5000 0.5000 Pt
```

- Look up the spin magnetization of the sixth one.
  0.007 μB per cell